Compound: CaPrZrFeO6
Source: Alexandria via LeMat-Bulk
Functional: PBE+U
Structure: optimized geometry

Geometry as CIF:
```
data_CaPrZrFeO6
_chemical_formula_sum 'Ca4 Pr4 Zr4 Fe4 O24'
_cell_length_a 7.9303
_cell_length_b 7.9303
_cell_length_c 7.9303
_cell_angle_alpha 90.00
_cell_angle_beta 90.00
_cell_angle_gamma 90.00
_symmetry_space_group_name_H-M 'F -4 3 m'
_symmetry_Int_Tables_number 216
_symmetry_space_group_name_Hall 'F -4 2 3'
loop_
_atom_site_label
_atom_site_fract_x
_atom_site_fract_y
_atom_site_fract_z
Ca1 0.0000 0.0000 0.0000
Pr1 0.0000 0.0000 0.5000
Zr1 0.2500 0.2500 0.2500
Fe1 0.2500 0.2500 0.7500
O1 0.0098 0.2500 0.7500
```

## Properties
The raw total energy is -7.51 eV per atom.